No. 1
VASP calculation (PBE-GGA) on a geometry-optimized KHgSb2 structure.

Structure (CIF):
```
data_KHgSb2
_chemical_formula_sum 'K2 Hg2 Sb4'
_space_group_name_H-M_alt 'I m m m'
_space_group_IT_number 71
_space_group_name_Hall '-I 2 2'
_cell_length_a 4.5283
_cell_length_b 4.5705
_cell_length_c 11.7852
_cell_angle_alpha 90.00
_cell_angle_beta 90.00
_cell_angle_gamma 90.00
loop_
_atom_site_label
_atom_site_type_symbol
_atom_site_fract_x
_atom_site_fract_y
_atom_site_fract_z
K1 K 0.0000 0.0000 0.0000
Hg1 Hg 0.0000 0.0000 0.5000
Sb1 Sb 0.0000 0.5000 0.2481
```

Output
Calculated volume   30.49 Å³ per atom
M_tot   0.000 μB/atom
E_form (uncorrected)   -0.086 eV/atom

No. 2
VASP calculation (PBE-GGA) on a geometry-optimized KHg2Sb structure.

Structure (CIF):
```
data_KHg2Sb
_chemical_formula_sum 'K8 Hg16 Sb8'
_space_group_name_H-M_alt 'C m c m'
_space_group_IT_number 63
_space_group_name_Hall '-C 2c 2'
_cell_length_a 5.1559
_cell_length_b 19.8256
_cell_length_c 10.1408
_cell_angle_alpha 90.00
_cell_angle_beta 90.00
_cell_angle_gamma 90.00
loop_
_atom_site_label
_atom_site_type_symbol
_atom_site_fract_x
_atom_site_fract_y
_atom_site_fract_z
K1 K 0.0000 0.0000 0.0000
K2 K 0.0000 0.2059 0.2500
Hg1 Hg 0.0000 0.1975 0.6077
Hg2 Hg 0.0000 0.4192 0.2500
Hg3 Hg 0.0000 0.4353 0.7500
Sb1 Sb 0.0000 0.3521 0.5083
```

Output
Calculated volume   32.39 Å³ per atom
M_tot   0.000 μB/atom
E_form (uncorrected)   -0.234 eV/atom

No. 3
VASP calculation (PBE-GGA) on a geometry-optimized KHgSb2 structure.

Structure (CIF):
```
data_KHgSb2
_chemical_formula_sum 'K1 Hg1 Sb2'
_space_group_name_H-M_alt 'P 4 m m'
_space_group_IT_number 99
_cell_length_a 4.0264
_cell_length_b 4.0264
_cell_length_c 8.0652
_cell_angle_alpha 90.00
_cell_angle_beta 90.00
_cell_angle_gamma 90.00
loop_
_space_group_symop_operation_xyz
'x,y,z'
'-y,x,z'
'-x,-y,z'
'y,-x,z'
'-x,y,z'
'y,x,z'
'x,-y,z'
'-y,-x,z'
loop_
_atom_site_label
_atom_site_type_symbol
_atom_site_fract_x
_atom_site_fract_y
_atom_site_fract_z
K1 K 0.0000 0.0000 0.0000
Hg1 Hg 0.5000 0.5000 0.7327
Sb1 Sb 0.0000 0.0000 0.4650
Sb2 Sb 0.5000 0.5000 0.3182
```

Output
Calculated volume   32.69 Å³ per atom
M_tot   0.000 μB/atom
E_form (uncorrected)   -0.194 eV/atom

No. 4
VASP calculation (PBE-GGA) on a geometry-optimized KHgSb2 structure.

Structure (CIF):
```
data_KHgSb2
_chemical_formula_sum 'K2 Hg2 Sb4'
_space_group_name_H-M_alt 'I m m 2'
_space_group_IT_number 44
_cell_length_a 4.1668
_cell_length_b 5.9066
_cell_length_c 11.2248
_cell_angle_alpha 90.00
_cell_angle_beta 90.00
_cell_angle_gamma 90.00
loop_
_space_group_symop_operation_xyz
'x,y,z'
'-x,-y,z'
'-x,y,z'
'x,-y,z'
'x+1/2,y+1/2,z+1/2'
'-x+1/2,-y+1/2,z+1/2'
'-x+1/2,y+1/2,z+1/2'
'x+1/2,-y+1/2,z+1/2'
loop_
_atom_site_label
_atom_site_type_symbol
_atom_site_fract_x
_atom_site_fract_y
_atom_site_fract_z
K1 K 0.0000 0.0000 0.0000
Hg1 Hg 0.0000 0.5000 0.2071
Sb1 Sb 0.0000 0.0000 0.4527
Sb2 Sb 0.0000 0.5000 0.7797
```

Output
Calculated volume   34.53 Å³ per atom
M_tot   0.000 μB/atom
E_form (uncorrected)   -0.183 eV/atom

No. 5
VASP calculation (PBE-GGA) on a geometry-optimized K3HgSb structure.

Structure (CIF):
```
data_K3HgSb
_chemical_formula_sum 'K3 Hg1 Sb1'
_space_group_name_H-M_alt 'P m -3 m'
_space_group_IT_number 221
_space_group_name_Hall '-P 4 2 3'
_cell_length_a 6.7700
_cell_length_b 6.7700
_cell_length_c 6.7700
_cell_angle_alpha 90.00
_cell_angle_beta 90.00
_cell_angle_gamma 90.00
loop_
_atom_site_label
_atom_site_type_symbol
_atom_site_fract_x
_atom_site_fract_y
_atom_site_fract_z
K1 K 0.0000 0.0000 0.5000
Hg1 Hg 0.5000 0.5000 0.5000
Sb1 Sb 0.0000 0.0000 0.0000
```

Output
Calculated volume   62.06 Å³ per atom
M_tot   0.000 μB/atom
E_form (uncorrected)   -0.230 eV/atom
ΔE to the lowest computed polymorph   0.133 eV/atom

No. 6
VASP calculation (PBE-GGA) on a geometry-optimized KHg2Sb structure.

Structure (CIF):
```
data_KHg2Sb
_chemical_formula_sum 'K4 Hg8 Sb4'
_space_group_name_H-M_alt 'I -4 2 d'
_space_group_IT_number 122
_space_group_name_Hall 'I -4 2bw'
_cell_length_a 5.4168
_cell_length_b 5.4168
_cell_length_c 20.7842
_cell_angle_alpha 90.00
_cell_angle_beta 90.00
_cell_angle_gamma 90.00
loop_
_atom_site_label
_atom_site_type_symbol
_atom_site_fract_x
_atom_site_fract_y
_atom_site_fract_z
K1 K 0.0000 0.0000 0.0000
Hg1 Hg 0.1213 0.2500 0.6250
Sb1 Sb 0.0000 0.0000 0.5000
```

Output
Calculated volume   38.11 Å³ per atom
M_tot   0.000 μB/atom
E_form (uncorrected)   -0.093 eV/atom

No. 7
VASP calculation (PBE-GGA) on a geometry-optimized KHgSb2 structure.

Structure (CIF):
```
data_KHgSb2
_chemical_formula_sum 'K1 Hg1 Sb2'
_space_group_name_H-M_alt 'P 4/m m m'
_space_group_IT_number 123
_space_group_name_Hall '-P 4 2'
_cell_length_a 4.1556
_cell_length_b 4.1556
_cell_length_c 7.2994
_cell_angle_alpha 90.00
_cell_angle_beta 90.00
_cell_angle_gamma 90.00
loop_
_atom_site_label
_atom_site_type_symbol
_atom_site_fract_x
_atom_site_fract_y
_atom_site_fract_z
K1 K 0.0000 0.0000 0.0000
Hg1 Hg 0.0000 0.0000 0.5000
Sb1 Sb 0.5000 0.5000 0.3086
```

Output
Calculated volume   31.51 Å³ per atom
M_tot   0.000 μB/atom
E_form (uncorrected)   -0.049 eV/atom

No. 8
VASP calculation (PBE-GGA) on a geometry-optimized KHgSb2 structure.

Structure (CIF):
```
data_KHgSb2
_chemical_formula_sum 'K2 Hg2 Sb4'
_space_group_name_H-M_alt 'C 1 m 1'
_space_group_IT_number 8
_cell_length_a 10.8510
_cell_length_b 3.2898
_cell_length_c 7.2716
_cell_angle_alpha 90.00
_cell_angle_beta 94.54
_cell_angle_gamma 90.00
loop_
_space_group_symop_operation_xyz
'x,y,z'
'x,-y,z'
'x+1/2,y+1/2,z'
'x+1/2,-y+1/2,z'
loop_
_atom_site_label
_atom_site_type_symbol
_atom_site_fract_x
_atom_site_fract_y
_atom_site_fract_z
K1 K 0.0000 0.0000 0.0000
Hg1 Hg 0.2594 0.0000 0.7479
Sb1 Sb 0.0122 0.5000 0.4855
Sb2 Sb 0.2452 0.5000 0.3201
```

Output
Calculated volume   32.34 Å³ per atom
M_tot   0.000 μB/atom
E_form (uncorrected)   -0.094 eV/atom

No. 9
VASP calculation (PBE-GGA) on a geometry-optimized K3Hg4Sb4 structure.

Structure (CIF):
```
data_K3Hg4Sb4
_chemical_formula_sum 'K6 Hg8 Sb8'
_space_group_name_H-M_alt 'C 1 2/m 1'
_space_group_IT_number 12
_cell_length_a 17.8590
_cell_length_b 7.6528
_cell_length_c 5.3172
_cell_angle_alpha 90.00
_cell_angle_beta 107.28
_cell_angle_gamma 90.00
loop_
_space_group_symop_operation_xyz
'x,y,z'
'-x,-y,-z'
'-x,y,-z'
'x,-y,z'
'x+1/2,y+1/2,z'
'-x+1/2,-y+1/2,-z'
'-x+1/2,y+1/2,-z'
'x+1/2,-y+1/2,z'
loop_
_atom_site_label
_atom_site_type_symbol
_atom_site_fract_x
_atom_site_fract_y
_atom_site_fract_z
K1 K 0.0000 0.0000 0.0000
K2 K 0.1264 0.5000 0.1275
Hg1 Hg 0.1690 0.2094 0.6711
Sb1 Sb 0.0000 0.3145 0.5000
Sb2 Sb 0.2112 0.0000 0.2116
```

Output
Calculated volume   31.54 Å³ per atom
M_tot   0.000 μB/atom
E_form (uncorrected)   -0.238 eV/atom

No. 10
VASP calculation (PBE-GGA) on a geometry-optimized KHgSb2 structure.

Structure (CIF):
```
data_KHgSb2
_chemical_formula_sum 'K1 Hg1 Sb2'
_space_group_name_H-M_alt 'P 4/m m m'
_space_group_IT_number 123
_space_group_name_Hall '-P 4 2'
_cell_length_a 4.5287
_cell_length_b 4.5287
_cell_length_c 6.0101
_cell_angle_alpha 90.00
_cell_angle_beta 90.00
_cell_angle_gamma 90.00
loop_
_atom_site_label
_atom_site_type_symbol
_atom_site_fract_x
_atom_site_fract_y
_atom_site_fract_z
K1 K 0.0000 0.0000 0.0000
Hg1 Hg 0.5000 0.5000 0.0000
Sb1 Sb 0.0000 0.5000 0.5000
```

Output
Calculated volume   30.81 Å³ per atom
M_tot   0.000 μB/atom
E_form (uncorrected)   -0.082 eV/atom

No. 11
VASP calculation (PBE-GGA) on a geometry-optimized K3Hg2Sb2 structure.

Structure (CIF):
```
data_K3Hg2Sb2
_chemical_formula_sum 'K6 Hg4 Sb4'
_space_group_name_H-M_alt 'C 1 2/m 1'
_space_group_IT_number 12
_cell_length_a 12.2443
_cell_length_b 5.4954
_cell_length_c 7.6635
_cell_angle_alpha 90.00
_cell_angle_beta 103.29
_cell_angle_gamma 90.00
loop_
_space_group_symop_operation_xyz
'x,y,z'
'-x,-y,-z'
'-x,y,-z'
'x,-y,z'
'x+1/2,y+1/2,z'
'-x+1/2,-y+1/2,-z'
'-x+1/2,y+1/2,-z'
'x+1/2,-y+1/2,z'
loop_
_atom_site_label
_atom_site_type_symbol
_atom_site_fract_x
_atom_site_fract_y
_atom_site_fract_z
K1 K 0.0000 0.0000 0.0000
K2 K 0.1611 0.0000 0.6036
Hg1 Hg 0.1915 0.5000 0.9416
Sb1 Sb 0.0301 0.5000 0.3283
```

Output
Calculated volume   35.85 Å³ per atom
M_tot   0.000 μB/atom
E_form (uncorrected)   -0.344 eV/atom

No. 12
VASP calculation (PBE-GGA) on a geometry-optimized KHgSb2 structure.

Structure (CIF):
```
data_KHgSb2
_chemical_formula_sum 'K3 Hg3 Sb6'
_space_group_name_H-M_alt 'R -3 m'
_space_group_IT_number 166
_space_group_name_Hall '-R 3 2"'
_cell_length_a 3.6876
_cell_length_b 3.6876
_cell_length_c 31.0111
_cell_angle_alpha 90.00
_cell_angle_beta 90.00
_cell_angle_gamma 120.00
loop_
_atom_site_label
_atom_site_type_symbol
_atom_site_fract_x
_atom_site_fract_y
_atom_site_fract_z
K1 K 0.0000 0.0000 0.0000
Hg1 Hg 0.0000 0.0000 0.5000
Sb1 Sb 0.0000 0.0000 0.2389
```

Output
Calculated volume   30.43 Å³ per atom
M_tot   0.000 μB/atom
E_form (uncorrected)   0.072 eV/atom

No. 13
VASP calculation (PBE-GGA) on a geometry-optimized KHg2Sb structure.

Structure (CIF):
```
data_KHg2Sb
_chemical_formula_sum 'K1 Hg2 Sb1'
_space_group_name_H-M_alt 'P m m 2'
_space_group_IT_number 25
_cell_length_a 3.3425
_cell_length_b 5.8474
_cell_length_c 6.3555
_cell_angle_alpha 90.00
_cell_angle_beta 90.00
_cell_angle_gamma 90.00
loop_
_space_group_symop_operation_xyz
'x,y,z'
'-x,-y,z'
'-x,y,z'
'x,-y,z'
loop_
_atom_site_label
_atom_site_type_symbol
_atom_site_fract_x
_atom_site_fract_y
_atom_site_fract_z
K1 K 0.0000 0.0000 0.0000
Hg1 Hg 0.0000 0.0000 0.5021
Hg2 Hg 0.5000 0.5000 0.6815
Sb1 Sb 0.5000 0.5000 0.1922
```

Output
Calculated volume   31.05 Å³ per atom
M_tot   0.000 μB/atom
E_form (uncorrected)   -0.081 eV/atom